VASP calculation (PBE) on a geometry-optimized MgOsAu2 structure.

Total energy = -4.27 eV/atom
Formation energy from the elements = 2.3 eV per formula unit

Lattice parameters (Å, degrees): 3.9132 3.9132 19.1000 90.00 90.00 90.00
Space group I-42d (No. 122)
Inequivalent atoms, fractional coordinates:
Mg (0.0000, 0.0000, 0.0000) [4 per cell]
Os (0.0000, 0.0000, 0.5000) [4 per cell]
Au (0.2453, 0.2500, 0.6250) [8 per cell]

=====

VASP calculation (PBE) on a geometry-optimized MgOs2Au structure.

Total energy = -6.52 eV/atom
Formation energy from the elements = 1.2 eV per formula unit

Lattice parameters (Å, degrees): 9.5656 2.8383 4.7013 90.00 100.07 90.00
Space group C2/m (No. 12)
Inequivalent atoms, fractional coordinates:
Mg (0.0000, 0.0000, 0.0000) [2 per cell]
Os (0.2503, 0.0000, 0.7690) [4 per cell]
Au (0.0000, 0.5000, 0.5000) [2 per cell]

=====

VASP calculation (PBE) on a geometry-optimized MgOs2Au structure.

Total energy = -6.59 eV/atom
Formation energy from the elements = 1.0 eV per formula unit

Lattice parameters (Å, degrees): 9.0827 2.8365 4.9555 90.00 98.42 90.00
Space group Cm (No. 8)
Inequivalent atoms, fractional coordinates:
Mg (0.0000, 0.0000, 0.0000) [2 per cell]
Os (0.0032, 0.5000, 0.5225) [2 per cell]
Os (0.2428, 0.0000, 0.6834) [2 per cell]
Au (0.2514, 0.5000, 0.1960) [2 per cell]

=====

VASP calculation (PBE) on a geometry-optimized MgOs2Au structure.

Total energy = -6.44 eV/atom
Formation energy from the elements = 1.6 eV per formula unit

Lattice parameters (Å, degrees): 3.7896 3.7896 4.3488 90.00 90.00 90.00
Space group P4/mmm (No. 123)
Inequivalent atoms, fractional coordinates:
Mg (0.0000, 0.0000, 0.0000) [1 per cell]
Os (0.0000, 0.5000, 0.5000) [2 per cell]
Au (0.5000, 0.5000, 0.0000) [1 per cell]

=====

VASP calculation (PBE) on a geometry-optimized MgOs2Au structure.

Total energy = -6.30 eV/atom
Formation energy from the elements = 2.1 eV per formula unit

Lattice parameters (Å, degrees): 2.8526 4.6584 9.5688 90.00 90.00 90.00
Space group Cmmm (No. 65)
Inequivalent atoms, fractional coordinates:
Mg (0.0000, 0.0000, 0.0000) [2 per cell]
Os (0.0000, 0.5000, 0.2394) [4 per cell]
Au (0.0000, 0.0000, 0.5000) [2 per cell]

=====

VASP calculation (PBE) on a geometry-optimized MgOsAu2 structure.

Total energy = -4.63 eV/atom
Formation energy from the elements = 0.9 eV per formula unit

Lattice parameters (Å, degrees): 2.8535 4.8507 9.7560 90.00 90.00 90.00
Space group Imm2 (No. 44)
Inequivalent atoms, fractional coordinates:
Mg (0.0000, 0.0000, 0.0000) [2 per cell]
Os (0.0000, 0.5000, 0.7467) [2 per cell]
Au (0.0000, 0.0000, 0.4935) [2 per cell]
Au (0.0000, 0.5000, 0.2523) [2 per cell]

=====

VASP calculation (PBE) on a geometry-optimized MgOs2Au structure.

Total energy = -6.24 eV/atom
Formation energy from the elements = 2.4 eV per formula unit

Lattice parameters (Å, degrees): 2.7088 2.7088 8.6450 90.00 90.00 90.00
Space group P4/mmm (No. 123)
Inequivalent atoms, fractional coordinates:
Mg (0.0000, 0.0000, 0.0000) [1 per cell]
Os (0.5000, 0.5000, 0.2474) [2 per cell]
Au (0.0000, 0.0000, 0.5000) [1 per cell]

=====

VASP calculation (PBE) on a geometry-optimized MgOsAu4 structure.

Total energy = -3.83 eV/atom
Formation energy from the elements = 3.0 eV per formula unit

Lattice parameters (Å, degrees): 7.6448 7.6448 7.6448 90.00 90.00 90.00
Space group F-43m (No. 216)
Inequivalent atoms, fractional coordinates:
Mg (0.0000, 0.0000, 0.0000) [4 per cell]
Os (0.2500, 0.2500, 0.7500) [4 per cell]
Au (0.1249, 0.1249, 0.3751) [16 per cell]

=====

VASP calculation (PBE) on a geometry-optimized Mg2Os2Au structure.

Total energy = -5.05 eV/atom
Formation energy from the elements = 3.7 eV per formula unit

Lattice parameters (Å, degrees): 6.6996 6.6996 3.5714 90.00 90.00 90.00
Space group P4/mbm (No. 127)
Inequivalent atoms, fractional coordinates:
Mg (0.1361, 0.3639, 0.0000) [4 per cell]
Os (0.1638, 0.6638, 0.5000) [4 per cell]
Au (0.0000, 0.0000, 0.0000) [2 per cell]

=====

VASP calculation (PBE) on a geometry-optimized MgOs2Au structure.

Total energy = -6.43 eV/atom
Formation energy from the elements = 1.6 eV per formula unit

Lattice parameters (Å, degrees): 2.8973 4.7330 9.3680 90.00 90.00 90.00
Space group Cmm2 (No. 35)
Inequivalent atoms, fractional coordinates:
Mg (0.0000, 0.0000, 0.0000) [2 per cell]
Os (0.0000, 0.0000, 0.5240) [2 per cell]
Os (0.0000, 0.5000, 0.7534) [2 per cell]
Au (0.0000, 0.5000, 0.2514) [2 per cell]

=====

VASP calculation (PBE) on a geometry-optimized MgOs2Au structure.

Total energy = -5.84 eV/atom
Formation energy from the elements = 4.0 eV per formula unit

Lattice parameters (Å, degrees): 7.5844 7.5844 4.9995 90.00 90.00 90.00
Space group I-42d (No. 122)
Inequivalent atoms, fractional coordinates:
Mg (0.0000, 0.0000, 0.0000) [4 per cell]
Os (0.2300, 0.7500, 0.6250) [8 per cell]
Au (0.0000, 0.0000, 0.5000) [4 per cell]

=====

VASP calculation (PBE) on a geometry-optimized MgOsAu2 structure.

Total energy = -4.71 eV/atom
Formation energy from the elements = 0.5 eV per formula unit

Lattice parameters (Å, degrees): 4.5989 4.5989 3.1497 90.00 90.00 90.00
Space group P4/mmm (No. 123)
Inequivalent atoms, fractional coordinates:
Mg (0.0000, 0.0000, 0.0000) [1 per cell]
Os (0.5000, 0.5000, 0.0000) [1 per cell]
Au (0.0000, 0.5000, 0.5000) [2 per cell]

=====

VASP calculation (PBE) on a geometry-optimized MgOsAu2 structure.

Total energy = -4.64 eV/atom
Formation energy from the elements = 0.8 eV per formula unit

Lattice parameters (Å, degrees): 2.7490 4.1496 5.8500 90.00 90.00 90.00
Space group Pmmm (No. 47)
Inequivalent atoms, fractional coordinates:
Mg (0.0000, 0.0000, 0.0000) [1 per cell]
Os (0.0000, 0.0000, 0.5000) [1 per cell]
Au (0.5000, 0.5000, 0.2525) [2 per cell]

=====

VASP calculation (PBE) on a geometry-optimized MgOsAu2 structure.

Total energy = -4.62 eV/atom
Formation energy from the elements = 0.9 eV per formula unit

Lattice parameters (Å, degrees): 2.8769 2.8769 27.8581 90.00 90.00 120.00
Space group R-3m (No. 166, hexagonal axes)
Inequivalent atoms, fractional coordinates:
Mg (0.0000, 0.0000, 0.0000) [3 per cell]
Os (0.0000, 0.0000, 0.5000) [3 per cell]
Au (0.0000, 0.0000, 0.2514) [6 per cell]

=====

VASP calculation (PBE) on a geometry-optimized MgOs2Au structure.

Total energy = -6.79 eV/atom
Formation energy from the elements = 0.2 eV per formula unit

Lattice parameters (Å, degrees): 2.8498 2.8498 7.8767 90.00 90.00 90.00
Space group P4mm (No. 99)
Inequivalent atoms, fractional coordinates:
Mg (0.0000, 0.0000, 0.0000) [1 per cell]
Os (0.0000, 0.0000, 0.4638) [1 per cell]
Os (0.5000, 0.5000, 0.2576) [1 per cell]
Au (0.5000, 0.5000, 0.7363) [1 per cell]

=====

VASP calculation (PBE) on a geometry-optimized MgOs3Au structure.

Total energy = -5.31 eV/atom
Formation energy from the elements = 12.0 eV per formula unit

Lattice parameters (Å, degrees): 4.4593 4.4593 4.4593 90.00 90.00 90.00
Space group Pm-3m (No. 221)
Inequivalent atoms, fractional coordinates:
Mg (0.0000, 0.0000, 0.0000) [1 per cell]
Os (0.0000, 0.0000, 0.5000) [3 per cell]
Au (0.5000, 0.5000, 0.5000) [1 per cell]

=====

VASP calculation (PBE) on a geometry-optimized Mg2Os2Au structure.

Total energy = -4.98 eV/atom
Formation energy from the elements = 4.0 eV per formula unit

Lattice parameters (Å, degrees): 5.0624 5.0624 7.6752 90.00 90.00 90.00
Space group I4/mmm (No. 139)
Inequivalent atoms, fractional coordinates:
Mg (0.0000, 0.5000, 0.2500) [4 per cell]
Os (0.0000, 0.0000, 0.1493) [4 per cell]
Au (0.0000, 0.0000, 0.5000) [2 per cell]

=====

VASP calculation (PBE) on a geometry-optimized MgOs2Au structure.

Total energy = -6.65 eV/atom
Formation energy from the elements = 0.7 eV per formula unit

Lattice parameters (Å, degrees): 2.8257 2.8257 27.5380 90.00 90.00 120.00
Space group R3m (No. 160, hexagonal axes)
Inequivalent atoms, fractional coordinates:
Mg (0.0000, 0.0000, 0.0000) [3 per cell]
Os (0.0000, 0.0000, 0.2494) [3 per cell]
Os (0.0000, 0.0000, 0.5083) [3 per cell]
Au (0.0000, 0.0000, 0.7522) [3 per cell]

=====

VASP calculation (PBE) on a geometry-optimized MgOs2Au structure.

Total energy = -6.50 eV/atom
Formation energy from the elements = 1.3 eV per formula unit

Lattice parameters (Å, degrees): 4.0543 4.0543 7.5144 90.00 90.00 90.00
Space group I-4m2 (No. 119)
Inequivalent atoms, fractional coordinates:
Mg (0.0000, 0.0000, 0.0000) [2 per cell]
Os (0.0000, 0.0000, 0.5000) [2 per cell]
Os (0.0000, 0.5000, 0.7500) [2 per cell]
Au (0.0000, 0.5000, 0.2500) [2 per cell]

=====

VASP calculation (PBE) on a geometry-optimized MgOsAu3 structure.

Total energy = -3.58 eV/atom
Formation energy from the elements = 4.7 eV per formula unit

Lattice parameters (Å, degrees): 5.0524 5.0524 5.0524 90.00 90.00 90.00
Space group Pm-3m (No. 221)
Inequivalent atoms, fractional coordinates:
Mg (0.0000, 0.0000, 0.0000) [1 per cell]
Os (0.5000, 0.5000, 0.5000) [1 per cell]
Au (0.0000, 0.5000, 0.5000) [3 per cell]